# 1
# BaInAu3, relaxed, DFT PBE
# E_form (eV/atom): -0.51
# Distance to the lowest polymorph of the same formula (kJ per mole of atoms): 0.0
data_BaInAu3
_chemical_formula_sum 'Ba4 In4 Au12'
_symmetry_space_group_name_H-M 'C m c m'
_symmetry_Int_Tables_number 63
_symmetry_space_group_name_Hall '-C 2c 2'
_cell_length_a 4.1705
_cell_length_b 27.5058
_cell_length_c 4.6410
_cell_angle_alpha 90.00
_cell_angle_beta 90.00
_cell_angle_gamma 90.00
loop_
_atom_site_label
_atom_site_type_symbol
_atom_site_fract_x
_atom_site_fract_y
_atom_site_fract_z
_atom_site_occupancy
Ba1 Ba 0.0000 0.0794 0.2500 1
In1 In 0.0000 0.2050 0.7500 1
Au1 Au 0.0000 0.3057 0.7500 1
Au2 Au 0.0000 0.3683 0.2500 1
Au3 Au 0.0000 0.4709 0.2500 1

# 2
# TiTeSe3, relaxed, DFT PBE
# ΔE_f (raw) (eV/atom): -0.171
# Distance to the lowest polymorph of the same formula (kJ per mole of atoms): 0.0
data_TiTeSe3
_chemical_formula_sum 'Ti1 Te1 Se3'
_symmetry_space_group_name_H-M 'P m -3 m'
_symmetry_Int_Tables_number 221
_symmetry_space_group_name_Hall '-P 4 2 3'
_cell_length_a 4.9638
_cell_length_b 4.9638
_cell_length_c 4.9638
_cell_angle_alpha 90.00
_cell_angle_beta 90.00
_cell_angle_gamma 90.00
loop_
_atom_site_label
_atom_site_type_symbol
_atom_site_fract_x
_atom_site_fract_y
_atom_site_fract_z
_atom_site_occupancy
Ti1 Ti 0.0000 0.0000 0.0000 1
Te1 Te 0.5000 0.5000 0.5000 1
Se1 Se 0.0000 0.0000 0.5000 1

# 3
# Tb3MgRu, relaxed, DFT PBE
# E_form (eV/atom): -0.08
# Distance to the lowest polymorph of the same formula (kJ per mole of atoms): 14.3
data_Tb3MgRu
_chemical_formula_sum 'Tb3 Mg1 Ru1'
_symmetry_space_group_name_H-M 'P m -3 m'
_symmetry_Int_Tables_number 221
_symmetry_space_group_name_Hall '-P 4 2 3'
_cell_length_a 5.3647
_cell_length_b 5.3647
_cell_length_c 5.3647
_cell_angle_alpha 90.00
_cell_angle_beta 90.00
_cell_angle_gamma 90.00
loop_
_atom_site_label
_atom_site_type_symbol
_atom_site_fract_x
_atom_site_fract_y
_atom_site_fract_z
_atom_site_occupancy
Tb1 Tb 0.0000 0.0000 0.5000 1
Mg1 Mg 0.5000 0.5000 0.5000 1
Ru1 Ru 0.0000 0.0000 0.0000 1

# 4
# Ni2RhCl, relaxed, DFT PBE
# ΔE_f (raw) (eV/atom): 0.392
# Distance to the lowest polymorph of the same formula (kJ per mole of atoms): 18.3
data_Ni2RhCl
_chemical_formula_sum 'Ni4 Rh2 Cl2'
_symmetry_space_group_name_H-M 'C m m m'
_symmetry_Int_Tables_number 65
_symmetry_space_group_name_Hall '-C 2 2'
_cell_length_a 2.8131
_cell_length_b 4.9405
_cell_length_c 8.0085
_cell_angle_alpha 90.00
_cell_angle_beta 90.00
_cell_angle_gamma 90.00
loop_
_atom_site_label
_atom_site_type_symbol
_atom_site_fract_x
_atom_site_fract_y
_atom_site_fract_z
_atom_site_occupancy
Ni1 Ni 0.0000 0.0000 0.2400 1
Rh1 Rh 0.0000 0.5000 0.5000 1
Cl1 Cl 0.0000 0.5000 0.0000 1

# 5
# CeRhSe2, relaxed, DFT PBE
# ΔE_f (raw) (eV/atom): -0.394
data_CeRhSe2
_chemical_formula_sum 'Ce3 Rh3 Se6'
_symmetry_space_group_name_H-M 'R -3 m'
_symmetry_Int_Tables_number 166
_symmetry_space_group_name_Hall '-R 3 2"'
_cell_length_a 3.7659
_cell_length_b 3.7659
_cell_length_c 25.0994
_cell_angle_alpha 90.00
_cell_angle_beta 90.00
_cell_angle_gamma 120.00
loop_
_atom_site_label
_atom_site_type_symbol
_atom_site_fract_x
_atom_site_fract_y
_atom_site_fract_z
_atom_site_occupancy
Ce1 Ce 0.0000 0.0000 0.0000 1
Rh1 Rh 0.0000 0.0000 0.5000 1
Se1 Se 0.0000 0.0000 0.1160 1

# 6
# RbHfB, relaxed, DFT PBE
# E_form (eV/atom): 0.24
# Distance to the lowest polymorph of the same formula (kJ per mole of atoms): 19.3
data_RbHfB
_chemical_formula_sum 'Rb2 Hf2 B2'
_symmetry_space_group_name_H-M 'P 1'
_symmetry_Int_Tables_number 1
_cell_length_a 3.8679
_cell_length_b 3.8688
_cell_length_c 13.5623
_cell_angle_alpha 92.00
_cell_angle_beta 91.43
_cell_angle_gamma 119.99
loop_
_symmetry_equiv_pos_as_xyz
'x,y,z'
loop_
_atom_site_label
_atom_site_type_symbol
_atom_site_fract_x
_atom_site_fract_y
_atom_site_fract_z
_atom_site_occupancy
Rb1 Rb 0.0000 0.0000 0.0000 1
Rb2 Rb 0.2023 0.5191 0.3492 1
Hf1 Hf 0.2789 0.6048 0.7364 1
Hf2 Hf 0.5818 0.2374 0.5829 1
B1 B 0.9053 0.8930 0.5334 1
B2 B 0.9312 0.9221 0.6640 1

# 7
# Na8Sr5Ca, relaxed, DFT PBE
# E_form (eV/atom): 0.13
data_Na8Sr5Ca
_chemical_formula_sum 'Na16 Sr10 Ca2'
_symmetry_space_group_name_H-M 'I -4'
_symmetry_Int_Tables_number 82
_cell_length_a 10.9377
_cell_length_b 10.9377
_cell_length_c 10.6992
_cell_angle_alpha 90.00
_cell_angle_beta 90.00
_cell_angle_gamma 90.00
loop_
_symmetry_equiv_pos_as_xyz
'x,y,z'
'y,-x,-z'
'-x,-y,z'
'-y,x,-z'
'x+1/2,y+1/2,z+1/2'
'y+1/2,-x+1/2,-z+1/2'
'-x+1/2,-y+1/2,z+1/2'
'-y+1/2,x+1/2,-z+1/2'
loop_
_atom_site_label
_atom_site_type_symbol
_atom_site_fract_x
_atom_site_fract_y
_atom_site_fract_z
_atom_site_occupancy
Na1 Na 0.0604 0.1526 0.3139 1
Na2 Na 0.1146 0.3022 0.9858 1
Sr1 Sr 0.0000 0.5000 0.2500 1
Sr2 Sr 0.1123 0.3046 0.6375 1
Ca1 Ca 0.0000 0.0000 0.0000 1

# 8
# Dy7Ga2Si2, relaxed, DFT PBE
# ΔE_f (raw) (eV/atom): -0.208
data_Dy7Ga2Si2
_chemical_formula_sum 'Dy14 Ga4 Si4'
_symmetry_space_group_name_H-M 'C m m m'
_symmetry_Int_Tables_number 65
_symmetry_space_group_name_Hall '-C 2 2'
_cell_length_a 7.4875
_cell_length_b 10.7926
_cell_length_c 7.2375
_cell_angle_alpha 90.00
_cell_angle_beta 90.00
_cell_angle_gamma 90.00
loop_
_atom_site_label
_atom_site_type_symbol
_atom_site_fract_x
_atom_site_fract_y
_atom_site_fract_z
_atom_site_occupancy
Dy1 Dy 0.0000 0.0000 0.0000 1
Dy2 Dy 0.0000 0.5000 0.2622 1
Dy3 Dy 0.2500 0.2500 0.2893 1
Ga1 Ga 0.0000 0.2905 0.0000 1
Si1 Si 0.1649 0.0000 0.5000 1

The magnetic moment results, record by record, are as follows: 0.00, 0.13, 0.00, 2.10, 1.43, 0.00, 0.00, 0.00 μB per formula unit.
The E results, record by record, are as follows: -68.2, -22.3, -25.2, -38.4, -65.5, -33.7, -38.4, -102.8 eV per cell.